No. 1
Material: Na2CaCd
Method: DFT, PBE
State: optimized geometry

Cell and atoms, written as POSCAR:
```
Na2CaCd
1.0
-5.629 -2.351 -6.949
7.119 -3.864 -4.459
0.122 -5.947 -4.239
Na Cd Ca
4 2 2
Cartesian
-2.862 -3.550 -6.287
1.731 -10.081 -13.371
4.041 -4.085 -4.388
0.316 -6.609 -7.247
-2.381 -5.703 -8.446
0.000 0.000 0.000
0.745 -3.108 -5.704
3.993 -6.460 -7.201
```

## Properties
symmetry = No. 122


No. 2
Material: NaCa2Cd3
Method: DFT, PBE
State: optimized geometry

Cell and atoms, written as POSCAR:
```
NaCa2Cd3
1.0
5.395 0.000 0.000
-2.698 4.673 0.000
0.000 0.000 13.182
Cd Ca Na
6 4 2
Cartesian
0.000 3.115 5.519
2.698 1.558 1.083
2.698 1.558 7.663
0.000 3.115 12.099
0.000 0.000 9.873
0.000 0.000 3.309
2.698 1.558 10.963
0.000 0.000 0.000
0.000 0.000 6.591
0.000 3.115 2.219
0.000 3.115 8.812
2.698 1.558 4.370
```

## Properties
symmetry = No. 164


No. 3
Material: Na4CaCd4
Method: DFT, PBE
State: optimized geometry

Cell and atoms, written as POSCAR:
```
Na4CaCd4
1.0
-5.343 -4.487 1.402
3.996 -5.453 -2.224
3.719 -1.326 9.933
Cd Na Ca
8 8 2
Cartesian
-1.359 -6.526 2.172
-0.465 -1.635 3.173
-2.798 -3.594 3.785
1.100 -4.468 7.960
5.549 -4.872 5.557
3.804 -2.491 6.528
3.351 -7.539 6.707
1.651 -3.998 1.382
4.472 -4.519 2.584
-1.481 -3.578 0.967
4.222 -4.963 8.369
2.667 -2.055 3.588
0.709 -6.567 -0.252
0.683 -1.995 6.119
-1.731 -4.022 6.752
1.293 -7.423 9.137
0.000 0.000 0.000
1.186 -5.633 4.555
```

## Properties
symmetry = No. 137


no.,E_form (eV/f.u.),DOS at the Fermi energy (states/eV/cell),theoretical density (Mg/m³)
1,0.278,5.07,2.368
2,-1.398,10.08,4.401
3,0.263,10.22,3.569